# 1
# GeBiOs2C

A relaxed GeBiOs2C crystal (PBE-GGA, Alexandria).

Properties
As for the total magnetization: 0.0 μB per cell. The value obtained for the density of states at the Fermi level is 5.1 states/eV per cell. The space group is P4/mmm, No. 123. As for the total energy: -6.144 eV/atom.

a = 4.7887 Å, b = 4.7887 Å, c = 3.8472 Å
α = 90.00°, β = 90.00°, γ = 90.00°
With the nearest neighbours (Å) after each atom.
Atoms (fractional coordinates):
Ge1 0.0000 0.0000 0.0000  2 C 1.92
Bi1 0.5000 0.5000 0.5000  8 Os 3.07, 4 C 3.39
Os1 0.0000 0.5000 0.0000  2 Ge 2.39
Os2 0.5000 0.0000 0.0000  2 Ge 2.39
C1 0.0000 0.0000 0.5000  2 Ge 1.92

# 2
# CsSmOsO6

A relaxed CsSmOsO6 crystal (PBE-GGA, Alexandria).

Properties
As for the total magnetization: 0.0 μB per cell. The space group is P312, No. 149. The value obtained for the uncorrected formation energy is -1.759 eV/atom.

a = 5.7702 Å, b = 5.7702 Å, c = 6.4782 Å
α = 90.00°, β = 90.00°, γ = 120.00°
With the nearest neighbours (Å) after each atom.
Atoms (fractional coordinates):
Cs1 0.0000 0.0000 0.0000  6 O 3.12
Sm1 0.3333 0.6667 0.5000  6 O 2.32
Os1 0.6667 0.3333 0.5000  6 O 1.88
O1 0.4175 0.0554 0.6690  1 Os 1.88
O2 0.4175 0.3621 0.3310  1 Os 1.88
O3 0.6379 0.0554 0.3310  1 Os 1.88
O4 0.6379 0.5825 0.6690  1 Os 1.88
O5 0.9446 0.3621 0.6690  1 Os 1.88
O6 0.9446 0.5825 0.3310  1 Os 1.88

# 3
# ZnSiPt3

A relaxed ZnSiPt3 crystal (PBE-GGA, Alexandria).

Properties
As for the total magnetization: 0.0 μB per cell. The value obtained for the density of states at the Fermi level is 1.9 states/eV per cell. The space group is Pm-3m, No. 221. Its relative energy among the computed polymorphs is 0 meV/atom. The value obtained for the uncorrected formation energy is 0.135 eV/atom.

a = 4.5162 Å, b = 4.5162 Å, c = 4.5162 Å
α = 90.00°, β = 90.00°, γ = 90.00°
With the nearest neighbours (Å) after each atom.
Atoms (fractional coordinates):
Zn1 0.0000 0.0000 0.0000  12 Pt 3.19
Si1 0.5000 0.5000 0.5000  6 Pt 2.26
Pt1 0.0000 0.5000 0.5000  2 Si 2.26
Pt2 0.5000 0.0000 0.5000  2 Si 2.26
Pt3 0.5000 0.5000 0.0000  2 Si 2.26